1.
Below is Y2HgRuO8 after structural relaxation, with properties calculated at the PBE-GGA level.

Properties
Crystal system = orthorhombic
ΔE_f (raw) = -1.6909 eV/atom

Lattice parameters (Å, degrees): 4.897 4.895 7.201 89.97 89.97 93.02
Element x y z (fractional)
O1 0.283 0.283 0.001
O2 0.816 0.185 0.813
O3 0.815 0.184 0.187
O4 0.717 0.717 0.999
O5 0.697 0.697 0.500
O6 0.185 0.816 0.813
O7 0.303 0.303 0.500
O8 0.184 0.815 0.187
Ru1 0.000 0.000 0.000
Y1 0.501 0.501 0.251
Y2 0.499 0.499 0.749
Hg1 0.000 0.000 0.500

=====

2.
Below is ZrFeMo after structural relaxation, with properties calculated at the PBE-GGA level.

Properties
Energy above the lowest structure with this stoichiometry = 200 meV/atom
Crystal system = tetragonal
ΔH_f (0 K) = 0.2 eV per formula unit

Lattice parameters (Å, degrees): 5.739 5.740 3.045 74.61 74.63 30.77
Element x y z (fractional)
Zr1 0.662 0.662 0.338
Fe1 0.981 0.981 0.019
Mo1 0.358 0.358 0.642

=====

3.
Below is CuOsW2 after structural relaxation, with properties calculated at the PBE-GGA level.

Properties
Energy above the lowest structure with this stoichiometry = 148 meV/atom
Crystal system = monoclinic
ΔH_f (0 K) = 1.3 eV per formula unit

Lattice parameters (Å, degrees): 4.864 4.864 4.538 77.04 77.04 34.85
Element x y z (fractional)
Os1 0.250 0.250 0.250
W1 0.503 0.503 0.496
W2 0.997 0.997 0.004
Cu1 0.750 0.750 0.750

=====

| no. | theoretical density (g cm⁻³) |
| --- | --- |
| 1 | 5.85 |
| 2 | 8.18 |
| 3 | 17.31 |